5
Lattice="-4.1420 0.0768 -2.3319 -1.0934 -3.0622 1.8414 -1.8731 2.7234 3.4168" Properties=species:S:1:pos:R:3 comment="Cu2MoPtN, relaxed, DFT PBE-GGA" e_form_raw_ev_per_atom=1.15 n_ef_per_ev_atom=0.7610 rho_g_cm3=8.50 spacegroup="P4/mmm (123)" energy_ev_per_atom=-5.525 pbc="T T T"
N -0.5467 -1.5311 0.9207
Mo 0.0000 0.0000 0.0000
Cu -2.0710 0.0384 -1.1659
Cu -0.9366 1.3617 1.7084
Pt -3.5543 -0.1310 1.4631